No. 1
! TbY4AgS8 (PBE, relaxed); values from VASP
! Spin magnetization ... 0.00 μB per cell
! Total energy ... -6.572 eV/atom
! D(E_F) ... 0.00 states/eV per cell
&SYSTEM
  ibrav = 0, nat = 14, ntyp = 4
/
ATOMIC_SPECIES
Tb 158.93 Tb.upf
Y 88.91 Y.upf
Ag 107.87 Ag.upf
S 32.06 S.upf
CELL_PARAMETERS angstrom
4.019 2.320 6.574
-4.019 2.320 6.574
0.000 -4.641 6.574
ATOMIC_POSITIONS crystal
Tb 0.000 0.000 0.000
Y 0.000 0.000 0.483
Y 0.000 0.483 0.000
Y 0.483 0.000 0.000
Y 0.621 0.621 0.621
Ag 0.371 0.371 0.371
S 0.220 0.754 0.754
S 0.238 0.238 0.238
S 0.238 0.238 0.768
S 0.238 0.768 0.238
S 0.754 0.220 0.754
S 0.754 0.754 0.220
S 0.754 0.754 0.754
S 0.768 0.238 0.238



No. 2
! TbZrAgS4 (PBE, relaxed); values from VASP
! Spin magnetization ... 0.00 μB per cell
! Total energy ... -6.072 eV/atom
&SYSTEM
  ibrav = 0, nat = 14, ntyp = 4
/
ATOMIC_SPECIES
Tb 158.93 Tb.upf
Zr 91.22 Zr.upf
Ag 107.87 Ag.upf
S 32.06 S.upf
CELL_PARAMETERS angstrom
-3.822 3.981 5.542
3.822 -3.981 5.542
3.822 3.981 -5.542
ATOMIC_POSITIONS crystal
Tb 0.000 0.000 0.000
Tb 0.500 0.000 0.500
Zr 0.500 0.000 0.000
Zr 0.500 0.500 0.500
Ag 0.122 0.372 0.750
Ag 0.878 0.628 0.250
S 0.268 0.261 0.493
S 0.268 0.775 0.007
S 0.275 0.249 0.026
S 0.277 0.751 0.526
S 0.723 0.249 0.474
S 0.725 0.751 0.974
S 0.732 0.225 0.993
S 0.732 0.739 0.507



No. 3
! TbZr2Ag2S6 (PBE, relaxed); values from VASP
! Spin magnetization ... 0.00 μB per cell
! Total energy ... -5.964 eV/atom
! D(E_F) ... 3.70 states/eV per cell
&SYSTEM
  ibrav = 0, nat = 11, ntyp = 4
/
ATOMIC_SPECIES
Tb 158.93 Tb.upf
Zr 91.22 Zr.upf
Ag 107.87 Ag.upf
S 32.06 S.upf
CELL_PARAMETERS angstrom
3.302 -5.711 0.000
3.302 5.711 0.000
-0.465 0.000 6.778
ATOMIC_POSITIONS crystal
Tb 0.000 0.000 0.000
Zr 0.340 0.660 0.000
Zr 0.660 0.340 0.000
Ag 0.125 0.875 0.500
Ag 0.875 0.125 0.500
S 0.014 0.372 0.216
S 0.333 0.333 0.777
S 0.372 0.014 0.216
S 0.628 0.986 0.784
S 0.667 0.667 0.223
S 0.986 0.628 0.784



No. 4
! Tb3ZrAg3S8 (PBE, relaxed); values from VASP
! Spin magnetization ... 0.00 μB per cell
! Total energy ... -5.585 eV/atom
&SYSTEM
  ibrav = 0, nat = 15, ntyp = 4
/
ATOMIC_SPECIES
Tb 158.93 Tb.upf
Zr 91.22 Zr.upf
Ag 107.87 Ag.upf
S 32.06 S.upf
CELL_PARAMETERS angstrom
6.658 -3.977 0.000
6.658 3.977 0.000
-4.325 0.000 6.479
ATOMIC_POSITIONS crystal
Tb 0.000 0.000 0.000
Tb 0.000 0.500 0.500
Tb 0.500 0.000 0.500
Zr 0.500 0.500 0.000
Ag 0.000 0.500 0.000
Ag 0.500 0.000 0.000
Ag 0.500 0.500 0.500
S 0.248 0.248 0.254
S 0.261 0.736 0.766
S 0.264 0.264 0.759
S 0.264 0.739 0.234
S 0.736 0.261 0.766
S 0.736 0.736 0.241
S 0.739 0.264 0.234
S 0.752 0.752 0.746



No. 5
! TcAg2S (PBE, relaxed); values from VASP
! Spin magnetization ... 3.77 μB per cell
! Total energy ... -4.427 eV/atom
! D(E_F) ... 4.83 states/eV per cell
&SYSTEM
  ibrav = 0, nat = 8, ntyp = 3
/
ATOMIC_SPECIES
Tc 98.00 Tc.upf
Ag 107.87 Ag.upf
S 32.06 S.upf
CELL_PARAMETERS angstrom
-4.068 4.068 2.303
4.068 -4.068 2.303
4.068 4.068 -2.303
ATOMIC_POSITIONS crystal
Tc 0.000 0.000 0.000
Tc 0.750 0.250 0.500
Ag 0.201 0.125 0.576
Ag 0.375 0.799 0.924
Ag 0.549 0.625 0.424
Ag 0.875 0.451 0.076
S 0.250 0.750 0.500
S 0.500 0.500 0.000



No. 6
! Tc2AgS (PBE, relaxed); values from VASP
! Spin magnetization ... 0.00 μB per cell
! Total energy ... -6.262 eV/atom
! D(E_F) ... 8.45 states/eV per cell
&SYSTEM
  ibrav = 0, nat = 8, ntyp = 3
/
ATOMIC_SPECIES
Tc 98.00 Tc.upf
Ag 107.87 Ag.upf
S 32.06 S.upf
CELL_PARAMETERS angstrom
-1.960 1.960 9.037
1.960 -1.960 9.037
1.960 1.960 -9.037
ATOMIC_POSITIONS crystal
Tc 0.040 0.625 0.915
Tc 0.375 0.290 0.415
Tc 0.710 0.125 0.085
Tc 0.875 0.960 0.585
Ag 0.250 0.750 0.500
Ag 0.500 0.500 0.000
S 0.000 0.000 0.000
S 0.750 0.250 0.500



No. 7
! TcAg3S (PBE, relaxed); values from VASP
! Spin magnetization ... 4.00 μB per cell
! Total energy ... -2.978 eV/atom
! D(E_F) ... 5.28 states/eV per cell
&SYSTEM
  ibrav = 0, nat = 5, ntyp = 3
/
ATOMIC_SPECIES
Tc 98.00 Tc.upf
Ag 107.87 Ag.upf
S 32.06 S.upf
CELL_PARAMETERS angstrom
5.127 0.000 0.000
0.000 5.127 0.000
0.000 0.000 5.127
ATOMIC_POSITIONS crystal
Tc 0.000 0.000 0.000
Ag 0.000 0.000 0.500
Ag 0.000 0.500 0.000
Ag 0.500 0.000 0.000
S 0.500 0.500 0.500



No. 8
! TcAgS2 (PBE, relaxed); values from VASP
! Spin magnetization ... 0.00 μB per cell
! Total energy ... -5.066 eV/atom
! D(E_F) ... 0.56 states/eV per cell
&SYSTEM
  ibrav = 0, nat = 4, ntyp = 3
/
ATOMIC_SPECIES
Tc 98.00 Tc.upf
Ag 107.87 Ag.upf
S 32.06 S.upf
CELL_PARAMETERS angstrom
0.000 3.109 3.109
3.109 0.000 3.109
3.109 3.109 0.000
ATOMIC_POSITIONS crystal
Tc 0.000 0.000 0.000
Ag 0.500 0.500 0.500
S 0.250 0.250 0.250
S 0.750 0.750 0.750



- Number 6 is which compound?
  Tc2AgS